Sr2TmGaCu2O7: optimized geometry, PBE-GGA.

a b c (Å): 23.2518 5.4938 5.3900
angles (deg): 90.00 90.00 90.00
Space group Ima2 (No. 46)
Asymmetric unit:
Sr 0.1512 0.0168 0.0000 [8 per cell]
Tm 0.0000 0.0000 0.9979 [4 per cell]
Ga 0.2500 0.5691 0.0376 [4 per cell]
Cu 0.0695 0.5009 0.9954 [8 per cell]
O 0.0603 0.2325 0.7628 [8 per cell]
O 0.0626 0.7314 0.7263 [8 per cell]
O 0.1764 0.0428 0.4720 [8 per cell]
O 0.2500 0.6133 0.3916 [4 per cell]

Computed properties:
D(E_F) ... 8.5 states/eV per cell
Formation energy from raw total energies ... -2129 meV/atom
V ... 689 Å³/cell
Density ... 6.3 g cm⁻³